Entry 1:
A relaxed structure of KBe2Ir2, computed with PBE-GGA.

extended XYZ file:
```
5
Lattice="-2.0291 -2.4470 2.6839 0.8393 -3.3070 -2.3806 3.3693 -3.5722 2.5149" Properties=species:S:1:pos:R:3 pbc="T T T"
Ir 1.7017 -6.2611 2.0271
Ir 0.4777 -3.0651 0.7911
K 0.0000 0.0000 0.0000
Be 1.8068 -4.8781 0.1430
Be 0.3726 -4.4481 2.6752
```

final energy = -5.001 eV/atom
space-group type = I4/mmm, No. 139
formation energy = 0.25 eV per atom
magnetization = 0.0 μB/f.u.
density of states at the Fermi level = 0.777 states/eV per atom
ρ = 9.077 g/cm3

Entry 2:
A relaxed structure of NaCa4Y3Se8, computed with PBE-GGA.

extended XYZ file:
```
16
Lattice="8.3010 0.0000 0.0000 0.0000 8.3183 0.0067 -4.1505 -4.1468 5.8730" Properties=species:S:1:pos:R:3 pbc="T T T"
Y -2.0753 2.0858 2.9399
Y 2.0753 2.0858 2.9399
Y 4.1505 4.1592 0.0034
Ca 2.0753 -2.0734 2.9365
Ca -2.0753 -2.0734 2.9365
Ca 4.1505 0.0000 0.0000
Ca 0.0000 0.0000 0.0000
Se 0.0000 4.1204 2.9531
Se 6.1970 2.0960 0.0339
Se 2.0465 2.0755 5.8459
Se 0.0000 0.0332 2.9574
Se 4.1505 4.1383 2.9224
Se -2.0465 2.0755 5.8459
Se 2.1040 2.0960 0.0339
Se 4.1505 0.0511 2.9267
Na 0.0000 4.1592 0.0034
```

final energy = -5.412 eV/atom
space-group type = R-3m, No. 166
magnetization = 0.0 μB/f.u.
density of states at the Fermi level = 0.250 states/eV per atom
ρ = 4.427 g/cm3

Entry 3:
A relaxed structure of RbTlNF2, computed with PBE-GGA.

extended XYZ file:
```
5
Lattice="5.2500 0.0000 0.0000 0.0000 5.2500 0.0000 0.0000 0.0000 5.2801" Properties=species:S:1:pos:R:3 pbc="T T T"
Rb 0.0000 0.0000 0.0000
N 0.0000 0.0000 2.6400
F 2.6250 0.0000 0.0000
F 0.0000 2.6250 0.0000
Tl 2.6250 2.6250 2.6400
```

final energy = -3.412 eV/atom
space-group type = P4/mmm, No. 123
magnetization = 3.0 μB/f.u.
density of states at the Fermi level = 0.436 states/eV per atom
ρ = 3.901 g/cm3
excess energy over the best structure of this formula in the dataset = 0.581 eV/atom

Entry 4:
A relaxed structure of Ac3Ce2Pb4, computed with PBE-GGA.

extended XYZ file:
```
9
Lattice="5.1236 0.0000 -1.4322 -0.5015 7.1787 -1.7941 -0.2543 0.1018 8.9712" Properties=species:S:1:pos:R:3 pbc="T T T"
Ac 4.0673 3.1282 4.6700
Ac 0.0000 0.0000 0.0000
Ac 0.3005 4.1523 1.0749
Pb 1.9317 5.1702 6.9108
Pb 2.4361 2.1103 -1.1659
Pb 3.3945 5.4893 2.2628
Pb 0.9733 1.7912 3.4821
Ce 3.2503 0.5136 1.7468
Ce 1.1176 6.7669 3.9981
```

final energy = -4.744 eV/atom
space-group type = C2/m, No. 12
formation energy = -0.41 eV per atom
magnetization = 2.2 μB/f.u.
density of states at the Fermi level = 1.858 states/eV per atom
ρ = 9.052 g/cm3
excess energy over the best structure of this formula in the dataset = 0.000 eV/atom

Entry 5:
A relaxed structure of CuSi2Hg, computed with PBE-GGA.

extended XYZ file:
```
4
Lattice="2.7517 0.0000 0.0000 0.0000 3.4155 0.0000 0.0000 0.0000 7.3360" Properties=species:S:1:pos:R:3 pbc="T T T"
Si 0.0000 0.0000 0.5299
Si 1.3758 1.7077 1.9551
Cu 0.0000 0.0000 3.2177
Hg 1.3758 1.7077 5.3013
```

final energy = -3.458 eV/atom
space-group type = Pmm2, No. 25
magnetization = 0.0 μB/f.u.
density of states at the Fermi level = 0.235 states/eV per atom
ρ = 7.715 g/cm3

Entry 6:
A relaxed structure of NaFeS2N, computed with PBE-GGA.

extended XYZ file:
```
5
Lattice="-2.4847 2.3701 -3.3151 2.9999 -1.5641 -3.3668 -2.3009 -3.2003 -0.5634" Properties=species:S:1:pos:R:3 pbc="T T T"
N -1.1504 -1.6001 -0.2817
Fe -0.8928 -1.1971 -3.6226
Na 0.0000 0.0000 0.0000
S 1.5000 -0.7820 -1.6834
S -1.2424 1.1850 -1.6575
```

final energy = -3.129 eV/atom
space-group type = P4/mmm, No. 123
magnetization = 0.2 μB/f.u.
density of states at the Fermi level = 1.421 states/eV per atom
ρ = 2.874 g/cm3
excess energy over the best structure of this formula in the dataset = 2.094 eV/atom

Entry 7:
A relaxed structure of Cd3Pb7, computed with PBE-GGA.

extended XYZ file:
```
10
Lattice="5.5206 0.0000 -1.6934 -0.5204 6.6830 -1.6966 -0.5525 0.4704 8.0443" Properties=species:S:1:pos:R:3 pbc="T T T"
Cd 0.0000 0.0000 0.0000
Cd 0.4687 5.3297 1.5282
Cd 3.9789 1.8236 3.1262
Pb 3.7218 5.2640 2.2879
Pb 1.4440 4.2912 4.7075
Pb 0.7259 1.8894 2.3664
Pb 3.0037 2.8622 -0.0532
Pb -0.2602 3.3415 -0.8483
Pb 2.7470 6.2406 -0.8898
Pb 1.7006 0.9127 5.5442
```

final energy = -2.811 eV/atom
space-group type = C2/m, No. 12
formation energy = 0.06 eV per atom
magnetization = 0.0 μB/f.u.
density of states at the Fermi level = 0.470 states/eV per atom
ρ = 10.050 g/cm3
excess energy over the best structure of this formula in the dataset = 0.000 eV/atom

Entry 8:
A relaxed structure of La4CuSI2, computed with PBE-GGA.

extended XYZ file:
```
8
Lattice="-1.6020 -0.7858 3.7885 6.3986 -3.0735 2.0682 0.4228 8.1824 1.8759" Properties=species:S:1:pos:R:3 pbc="T T T"
S 2.3983 -1.9296 2.9284
La 4.6886 -0.5821 1.8619
La 4.4368 3.8226 4.9834
La 0.7825 0.5006 2.7492
La 2.1327 5.6910 2.0822
I -0.5896 3.6983 2.8322
I 3.4107 2.5545 1.9720
Cu 0.0000 0.0000 0.0000
```

final energy = -4.983 eV/atom
space-group type = P2/m, No. 10
magnetization = 0.0 μB/f.u.
density of states at the Fermi level = 0.715 states/eV per atom
ρ = 6.051 g/cm3

Entry 9:
A relaxed structure of Ca3Ga3Pd, computed with PBE-GGA.

extended XYZ file:
```
14
Lattice="4.3209 0.0000 0.6509 2.1321 5.5189 0.5136 0.0720 0.0040 14.1894" Properties=species:S:1:pos:R:3 pbc="T T T"
Ga 4.1551 0.7057 1.7517
Ga 5.9657 4.6838 4.4000
Ga 5.3302 4.1510 8.6187
Ga 1.1949 1.3719 6.7353
Ga 2.3700 4.8172 13.6022
Ga 0.5594 0.8391 10.9539
Ca 1.6673 1.4407 3.5993
Ca 2.3844 1.6342 13.5065
Ca 3.0226 1.8447 9.2696
Ca 4.1407 3.8887 1.8475
Ca 3.5024 3.6782 6.0843
Ca 4.8578 4.0822 11.7546
Pd 3.0350 5.0724 9.1877
Pd 3.4901 0.4505 6.1662
```

final energy = -3.472 eV/atom
space-group type = C2/m, No. 12
formation energy = -0.58 eV per atom
magnetization = 0.0 μB/f.u.
density of states at the Fermi level = 0.729 states/eV per atom
ρ = 4.281 g/cm3

Entry 10:
A relaxed structure of SrAcGaCu, computed with PBE-GGA.

extended XYZ file:
```
4
Lattice="5.4485 0.0000 0.0000 2.7242 4.7185 0.0000 2.7242 1.5728 4.4486" Properties=species:S:1:pos:R:3 pbc="T T T"
Sr 5.4485 3.1457 2.2243
Ac 0.0000 0.0000 0.0000
Cu 2.7242 1.5728 1.1122
Ga 8.1727 4.7185 3.3365
```

final energy = -3.451 eV/atom
space-group type = F-43m, No. 216
formation energy = -0.22 eV per atom
magnetization = 0.0 μB/f.u.
density of states at the Fermi level = 0.867 states/eV per atom
ρ = 6.503 g/cm3
excess energy over the best structure of this formula in the dataset = 0.021 eV/atom

Entry 11:
A relaxed structure of Ho5PtRh4, computed with PBE-GGA.

extended XYZ file:
```
10
Lattice="-0.6486 -2.8097 -1.7952 3.1049 0.1576 -1.3684 6.2210 -9.7387 12.9944" Properties=species:S:1:pos:R:3 pbc="T T T"
Ho 1.8667 -2.3256 -0.2481
Ho 6.8106 -10.0652 10.0789
Ho 5.5756 -8.1319 7.4992
Ho 4.3386 -6.1954 4.9154
Ho 3.1017 -4.2590 2.3316
Rh 3.7299 -5.8390 7.7909
Rh 4.9673 -7.7761 10.3756
Rh 1.2537 -1.9627 2.6188
Rh 2.4911 -3.8998 5.2035
Pt 0.0000 0.0000 0.0000
```

final energy = -6.807 eV/atom
space-group type = P4/mmm, No. 123
formation energy = -0.97 eV per atom
magnetization = 0.0 μB/f.u.
density of states at the Fermi level = 0.480 states/eV per atom
ρ = 11.846 g/cm3